1.
Entry from the Alexandria database: a PBEsol-optimized structure of InBr (meta-GGA SCAN).

a b c (Å): 4.0122 4.0122 9.2748
angles (deg): 90.00 90.00 120.00
Fractional coordinates of all 4 atoms:
In: 0.6667 0.3333 0.3628
In: 0.3333 0.6667 0.6372
Br: 0.3333 0.6667 0.1732
Br: 0.6667 0.3333 0.8268

SG: P-3m1
Formation energy from raw total energies (meV per atom): -596
V (Å³ per atom): 32.33
Crystal system: trigonal
Density (g/cm3): 5.001

=====

2.
Entry from the Alexandria database: a PBEsol-optimized structure of InBr (meta-GGA SCAN).

a b c (Å): 4.5741 4.5760 6.4615
angles (deg): 90.00 90.00 90.00
Fractional coordinates of all 4 atoms:
Br: 0.5000 0.7256 0.5000
Br: 0.0000 0.2744 0.0000
In: 0.0000 0.2343 0.5000
In: 0.5000 0.7657 0.0000

SG: Pmmn
Formation energy from raw total energies (meV per atom): -644
V (Å³ per atom): 33.81
Crystal system: orthorhombic
Density (g/cm3): 4.782

=====

3.
Entry from the Alexandria database: a PBEsol-optimized structure of In4IrBr (meta-GGA SCAN).

a b c (Å): 5.8010 5.8010 5.8010
angles (deg): 60.00 60.00 60.00
Fractional coordinates of all 6 atoms:
In: 0.3755 0.8734 0.3755
In: 0.3755 0.3755 0.3755
In: 0.8734 0.3755 0.3755
In: 0.3755 0.3755 0.8734
Br: 0.0000 0.0000 0.0000
Ir: 0.7500 0.7500 0.7500

SG: F-43m
Formation energy from raw total energies (meV per atom): 660
V (Å³ per atom): 23.01
Crystal system: cubic
Density (g/cm3): 8.798

=====

4.
Entry from the Alexandria database: a PBEsol-optimized structure of InIrBr (meta-GGA SCAN).

a b c (Å): 3.2259 3.2259 6.1533
angles (deg): 105.20 105.20 90.00
Fractional coordinates of all 3 atoms:
Ir: 0.6825 0.6825 0.3651
Br: 0.0102 0.0102 0.0205
In: 0.3072 0.3072 0.6145

SG: I4mm
Formation energy from raw total energies (meV per atom): 469
V (Å³ per atom): 19.82
Crystal system: tetragonal
Density (g/cm3): 10.804

=====

5.
Entry from the Alexandria database: a PBEsol-optimized structure of InIr3Br (meta-GGA SCAN).

a b c (Å): 4.5957 4.5957 4.5957
angles (deg): 90.00 90.00 90.00
Fractional coordinates of all 5 atoms:
In: 0.5000 0.5000 0.5000
Ir: 0.0000 0.5000 0.0000
Ir: 0.5000 0.0000 0.0000
Ir: 0.0000 0.0000 0.5000
Br: 0.0000 0.0000 0.0000

SG: Pm-3m
Formation energy from raw total energies (meV per atom): 1899
V (Å³ per atom): 19.41
Crystal system: cubic
Density (g/cm3): 13.196

=====

6.
Entry from the Alexandria database: a PBEsol-optimized structure of KIn2Br (meta-GGA SCAN).

a b c (Å): 4.0910 4.6445 6.7791
angles (deg): 90.00 90.00 90.17
Fractional coordinates of all 4 atoms:
In: 0.2610 0.2411 0.0000
In: 0.7390 0.7589 0.0000
Br: 0.5000 0.0000 0.5000
K: 0.0000 0.5000 0.5000

SG: P2/m
Energy relative to the lowest polymorph listed for this composition (eV per formula unit): 0.00
Formation energy from raw total energies (meV per atom): -631
V (Å³ per atom): 32.20
Crystal system: monoclinic
Density (g/cm3): 4.495

=====

7.
Entry from the Alexandria database: a PBEsol-optimized structure of KInBr2 (meta-GGA SCAN).

a b c (Å): 4.5901 4.6001 6.4871
angles (deg): 90.00 90.00 90.00
Fractional coordinates of all 4 atoms:
Br: 0.8767 0.5000 0.0000
Br: 0.3743 0.0000 0.5000
In: 0.3750 0.0000 0.0000
K: 0.8740 0.5000 0.5000

SG: Pmm2
Energy relative to the lowest polymorph listed for this composition (eV per formula unit): 0.00
Formation energy from raw total energies (meV per atom): -1304
V (Å³ per atom): 34.24
Crystal system: orthorhombic
Density (g/cm3): 3.803

=====

8.
Entry from the Alexandria database: a PBEsol-optimized structure of KInBr (meta-GGA SCAN).

a b c (Å): 3.9425 3.9425 7.2792
angles (deg): 90.00 90.00 120.00
Fractional coordinates of all 3 atoms:
Br: 0.0000 0.0000 0.0090
In: 0.3333 0.6667 0.6915
K: 0.6667 0.3333 0.2996

SG: P3m1
Formation energy from raw total energies (meV per atom): -697
V (Å³ per atom): 32.66
Crystal system: trigonal
Density (g/cm3): 3.963

=====

9.
Entry from the Alexandria database: a PBEsol-optimized structure of KInBr2 (meta-GGA SCAN).

a b c (Å): 7.0451 7.0451 9.1663
angles (deg): 112.60 112.60 90.00
Fractional coordinates of all 8 atoms:
Br: 0.8814 0.3750 0.2500
Br: 0.3686 0.8750 0.2500
Br: 0.6250 0.6314 0.7500
Br: 0.1250 0.1186 0.7500
In: 0.0000 0.0000 0.0000
In: 0.2500 0.7500 0.5000
K: 0.5000 0.5000 0.0000
K: 0.7500 0.2500 0.5000

SG: I-42d
Energy relative to the lowest polymorph listed for this composition (eV per formula unit): 0.58
Formation energy from raw total energies (meV per atom): -1159
V (Å³ per atom): 47.74
Crystal system: tetragonal
Density (g/cm3): 2.728

=====

10.
Entry from the Alexandria database: a PBEsol-optimized structure of KIn2Br (meta-GGA SCAN).

a b c (Å): 4.3577 4.3577 6.7435
angles (deg): 90.00 90.00 90.00
Fractional coordinates of all 4 atoms:
In: 0.5000 0.0000 0.0000
In: 0.0000 0.5000 0.0000
Br: 0.0000 0.0000 0.5000
K: 0.5000 0.5000 0.5000

SG: P4/mmm
Energy relative to the lowest polymorph listed for this composition (eV per formula unit): 0.02
Formation energy from raw total energies (meV per atom): -627
V (Å³ per atom): 32.01
Crystal system: tetragonal
Density (g/cm3): 4.521

=====

11.
Entry from the Alexandria database: a PBEsol-optimized structure of KInBr2 (meta-GGA SCAN).

a b c (Å): 5.5197 5.5197 5.5197
angles (deg): 60.00 60.00 60.00
Fractional coordinates of all 4 atoms:
K: 0.0000 0.0000 0.0000
Br: 0.7500 0.7500 0.7500
Br: 0.2500 0.2500 0.2500
In: 0.5000 0.5000 0.5000

SG: Fm-3m
Energy relative to the lowest polymorph listed for this composition (eV per formula unit): 0.14
Formation energy from raw total energies (meV per atom): -1268
V (Å³ per atom): 29.73
Crystal system: cubic
Density (g/cm3): 4.381

=====

12.
Entry from the Alexandria database: a PBEsol-optimized structure of KInBr2 (meta-GGA SCAN).

a b c (Å): 4.1856 4.2337 8.2223
angles (deg): 104.92 104.75 90.00
Fractional coordinates of all 4 atoms:
Br: 0.0423 0.0423 0.0845
Br: 0.2934 0.7934 0.5868
K: 0.7082 0.2082 0.4163
In: 0.4561 0.4561 0.9123

SG: Imm2
Energy relative to the lowest polymorph listed for this composition (eV per formula unit): 0.19
Formation energy from raw total energies (meV per atom): -1256
V (Å³ per atom): 33.96
Crystal system: orthorhombic
Density (g/cm3): 3.836